Record 1
# La2SmNi9 PBE relaxed
data_La2SmNi9
_chemical_formula_sum 'La6 Sm3 Ni27'
_symmetry_space_group_name_H-M 'R -3 m'
_symmetry_Int_Tables_number 166
_symmetry_space_group_name_Hall '-R 3 2"'
_cell_length_a 5.0181
_cell_length_b 5.0181
_cell_length_c 25.1021
_cell_angle_alpha 90.00
_cell_angle_beta 90.00
_cell_angle_gamma 120.00
loop_
_atom_site_label
_atom_site_type_symbol
_atom_site_fract_x
_atom_site_fract_y
_atom_site_fract_z
La1 La 0.0000 0.0000 0.1379
Sm1 Sm 0.0000 0.0000 0.0000
Ni1 Ni 0.0000 0.0000 0.3325
Ni2 Ni 0.0000 0.0000 0.5000
Ni3 Ni 0.0013 0.5007 0.0797
# calculated total energy = -211.69 eV for the cell shown



Record 2
# LaRe PBE relaxed
data_LaRe
_chemical_formula_sum 'La2 Re2'
_symmetry_space_group_name_H-M 'P m m a'
_symmetry_Int_Tables_number 51
_cell_length_a 4.233
_cell_length_b 4.249
_cell_length_c 5.965
_cell_angle_alpha 90.00
_cell_angle_beta 90.00
_cell_angle_gamma 90.00
loop_
_symmetry_equiv_pos_as_xyz
'x,y,z'
'-x,-y,-z'
'-x+1/2,-y,z'
'x+1/2,y,-z'
'x+1/2,-y,-z'
'-x+1/2,y,z'
'-x,y,-z'
'x,-y,z'
loop_
_atom_site_label
_atom_site_type_symbol
_atom_site_fract_x
_atom_site_fract_y
_atom_site_fract_z
La1 La 0.250 0.000 0.222
Re1 Re 0.250 0.500 0.605
# calculated total energy = -32.98 eV for the cell shown
# energy above the lowest structure with this stoichiometry = 0.292 eV/atom



Record 3
# Cs2NpS2Br2 PBE relaxed
data_Cs2NpS2Br2
_chemical_formula_sum 'Cs4 Np2 S4 Br4'
_symmetry_space_group_name_H-M 'I 4/m m m'
_symmetry_Int_Tables_number 139
_symmetry_space_group_name_Hall '-I 4 2'
_cell_length_a 5.297
_cell_length_b 5.297
_cell_length_c 18.608
_cell_angle_alpha 90.00
_cell_angle_beta 90.00
_cell_angle_gamma 90.00
loop_
_atom_site_label
_atom_site_type_symbol
_atom_site_fract_x
_atom_site_fract_y
_atom_site_fract_z
Cs1 Cs 0.000 0.000 0.138
Np1 Np 0.000 0.000 0.500
S1 S 0.000 0.500 0.000
Br1 Br 0.000 0.000 0.343
# formation energy (no corrections) = -1.51 eV/atom
# calculated total energy = -73.58 eV for the cell shown



Record 4
# Bi2CF2 PBE relaxed
data_Bi2CF2
_chemical_formula_sum 'Bi4 C2 F4'
_symmetry_space_group_name_H-M 'P 4/m b m'
_symmetry_Int_Tables_number 127
_symmetry_space_group_name_Hall '-P 4 2ab'
_cell_length_a 6.751
_cell_length_b 6.751
_cell_length_c 4.605
_cell_angle_alpha 90.00
_cell_angle_beta 90.00
_cell_angle_gamma 90.00
loop_
_atom_site_label
_atom_site_type_symbol
_atom_site_fract_x
_atom_site_fract_y
_atom_site_fract_z
Bi1 Bi 0.177 0.323 0.000
C1 C 0.000 0.000 0.000
F1 F 0.164 0.336 0.500
# formation energy (no corrections) = -0.32 eV/atom
# calculated total energy = -44.63 eV for the cell shown
# energy above the lowest structure with this stoichiometry = 0.000 eV/atom



Record 5
# Ge6Sb PBE relaxed
data_Ge6Sb
_chemical_formula_sum 'Ge12 Sb2'
_symmetry_space_group_name_H-M 'I m -3 m'
_symmetry_Int_Tables_number 229
_symmetry_space_group_name_Hall '-I 4 2 3'
_cell_length_a 7.040
_cell_length_b 7.040
_cell_length_c 7.040
_cell_angle_alpha 90.00
_cell_angle_beta 90.00
_cell_angle_gamma 90.00
loop_
_atom_site_label
_atom_site_type_symbol
_atom_site_fract_x
_atom_site_fract_y
_atom_site_fract_z
Ge1 Ge 0.000 0.250 0.500
Sb1 Sb 0.000 0.000 0.000
# formation energy (no corrections) = 0.39 eV/atom
# calculated total energy = -58.18 eV for the cell shown



Record 6
# La2Nd3Y3 PBE relaxed
data_La2Nd3Y3
_chemical_formula_sum 'La4 Nd6 Y6'
_symmetry_space_group_name_H-M 'I m m m'
_symmetry_Int_Tables_number 71
_symmetry_space_group_name_Hall '-I 2 2'
_cell_length_a 5.173
_cell_length_b 5.193
_cell_length_c 20.587
_cell_angle_alpha 90.00
_cell_angle_beta 90.00
_cell_angle_gamma 90.00
loop_
_atom_site_label
_atom_site_type_symbol
_atom_site_fract_x
_atom_site_fract_y
_atom_site_fract_z
La1 La 0.000 0.000 0.250
Nd1 Nd 0.000 0.000 0.000
Nd2 Nd 0.000 0.500 0.123
Y1 Y 0.000 0.000 0.500
Y2 Y 0.000 0.500 0.377
# calculated total energy = -86.81 eV for the cell shown



Record 7
# Ca2HPt PBE relaxed
data_Ca2HPt
_chemical_formula_sum 'Ca8 H4 Pt4'
_symmetry_space_group_name_H-M 'F m -3 m'
_symmetry_Int_Tables_number 225
_symmetry_space_group_name_Hall '-F 4 2 3'
_cell_length_a 6.891
_cell_length_b 6.891
_cell_length_c 6.891
_cell_angle_alpha 90.00
_cell_angle_beta 90.00
_cell_angle_gamma 90.00
loop_
_atom_site_label
_atom_site_type_symbol
_atom_site_fract_x
_atom_site_fract_y
_atom_site_fract_z
Ca1 Ca 0.250 0.250 0.250
H1 H 0.000 0.000 0.000
Pt1 Pt 0.000 0.000 0.500
# calculated total energy = -60.98 eV for the cell shown
# energy above the lowest structure with this stoichiometry = 0.145 eV/atom



Record 8
# Li2ZnSnC PBE relaxed
data_Li2ZnSnC
_chemical_formula_sum 'Li2 Zn1 Sn1 C1'
_symmetry_space_group_name_H-M 'P 4/m m m'
_symmetry_Int_Tables_number 123
_symmetry_space_group_name_Hall '-P 4 2'
_cell_length_a 5.354
_cell_length_b 5.354
_cell_length_c 4.910
_cell_angle_alpha 90.00
_cell_angle_beta 90.00
_cell_angle_gamma 90.00
loop_
_atom_site_label
_atom_site_type_symbol
_atom_site_fract_x
_atom_site_fract_y
_atom_site_fract_z
Li1 Li 0.000 0.500 0.000
Zn1 Zn 0.000 0.000 0.500
Sn1 Sn 0.000 0.000 0.000
C1 C 0.500 0.500 0.500
# calculated total energy = -11.23 eV for the cell shown